Entry 1:
K4Th3MnTe8: optimized geometry, GGA-PBE.

## Properties
total DFT energy (no corrections): -77.6 eV/cell
energy relative to the elements, uncorrected: -1.04 eV per atom

a = 9.817 Å, b = 9.817 Å, c = 9.817 Å
α = 54.33°, β = 54.33°, γ = 54.33°
Fractional positions:
1 K 0.000 0.000 0.000
2 K 0.000 0.500 0.500
3 K 0.500 0.000 0.500
4 K 0.500 0.500 0.000
5 Th 0.000 0.000 0.500
6 Th 0.000 0.500 0.000
7 Th 0.500 0.000 0.000
8 Mn 0.500 0.500 0.500
9 Te 0.241 0.241 0.241
10 Te 0.250 0.729 0.729
11 Te 0.271 0.271 0.750
12 Te 0.271 0.750 0.271
13 Te 0.729 0.250 0.729
14 Te 0.729 0.729 0.250
15 Te 0.750 0.271 0.271
16 Te 0.759 0.759 0.759

=====

Entry 2:
Zn4CrRh: optimized geometry, GGA-PBE.

## Properties
formation enthalpy at 0 K: -68 meV per atom
total DFT energy (no corrections): -22.5 eV/cell

a = 4.921 Å, b = 4.921 Å, c = 4.921 Å
α = 60.00°, β = 60.00°, γ = 60.00°
Fractional positions:
1 Zn 0.125 0.125 0.125
2 Zn 0.125 0.125 0.624
3 Zn 0.125 0.624 0.125
4 Zn 0.624 0.125 0.125
5 Cr 0.750 0.750 0.750
6 Rh 0.500 0.500 0.500

=====

Entry 3:
KMn2Re: optimized geometry, GGA-PBE.

## Properties
formation enthalpy at 0 K: 1157 meV per atom
total DFT energy (no corrections): -27.3 eV/cell

a = 5.984 Å, b = 5.984 Å, c = 5.984 Å
α = 154.58°, β = 129.25°, γ = 57.59°
Fractional positions:
1 K 0.000 0.000 0.000
2 Mn 0.286 0.786 0.500
3 Mn 0.500 0.500 0.000
4 Re 0.711 0.211 0.500

=====

Entry 4:
Bi6S8Cl: optimized geometry, GGA-PBE.

## Properties
total DFT energy (no corrections): -62.5 eV/cell
energy relative to the elements, uncorrected: -0.29 eV per atom

a = 8.426 Å, b = 8.426 Å, c = 8.426 Å
α = 56.86°, β = 56.86°, γ = 56.86°
Fractional positions:
1 Bi 0.082 0.435 0.724
2 Bi 0.276 0.918 0.565
3 Bi 0.435 0.724 0.082
4 Bi 0.565 0.276 0.918
5 Bi 0.724 0.082 0.435
6 Bi 0.918 0.565 0.276
7 S 0.123 0.794 0.436
8 S 0.206 0.564 0.877
9 S 0.334 0.334 0.334
10 S 0.436 0.123 0.794
11 S 0.564 0.877 0.206
12 S 0.666 0.666 0.666
13 S 0.794 0.436 0.123
14 S 0.877 0.206 0.564
15 Cl 0.000 0.000 0.000

=====

Entry 5:
In3Br2Cl: optimized geometry, GGA-PBE.

## Properties
total DFT energy (no corrections): -17.6 eV/cell
energy relative to the elements, uncorrected: -0.69 eV per atom

a = 10.411 Å, b = 10.411 Å, c = 10.411 Å
α = 154.14°, β = 37.15°, γ = 153.79°
Fractional positions:
1 In 0.000 0.000 0.000
2 In 0.328 0.991 0.337
3 In 0.654 0.991 0.663
4 Br 0.149 0.980 0.169
5 Br 0.812 0.980 0.831
6 Cl 0.568 0.068 0.500

=====

Entry 6:
Li2CaSnS4: optimized geometry, GGA-PBE.

## Properties
total DFT energy (no corrections): -71.0 eV/cell
energy relative to the elements, uncorrected: -1.14 eV per atom

a = 7.678 Å, b = 7.678 Å, c = 7.678 Å
α = 120.79°, β = 119.40°, γ = 89.83°
Fractional positions:
1 Li 0.000 0.000 0.000
2 Li 0.500 0.000 0.000
3 Li 0.500 0.000 0.500
4 Li 0.500 0.500 0.500
5 Ca 0.000 0.500 0.500
6 Ca 0.500 0.500 0.000
7 Sn 0.000 0.000 0.500
8 Sn 0.000 0.500 0.000
9 S 0.232 0.221 0.488
10 S 0.232 0.744 0.012
11 S 0.237 0.243 0.994
12 S 0.250 0.757 0.494
13 S 0.750 0.243 0.506
14 S 0.763 0.757 0.006
15 S 0.768 0.256 0.988
16 S 0.768 0.779 0.512

=====

Entry 7:
LiAg2Sn3: optimized geometry, GGA-PBE.

## Properties
formation enthalpy at 0 K: -77 meV per atom
total DFT energy (no corrections): -20.1 eV/cell

a = 7.148 Å, b = 7.148 Å, c = 4.397 Å
α = 90.00°, β = 90.00°, γ = 144.39°
Fractional positions:
1 Li 0.000 0.000 0.000
2 Ag 0.166 0.834 0.500
3 Ag 0.834 0.166 0.500
4 Sn 0.335 0.665 0.000
5 Sn 0.500 0.500 0.500
6 Sn 0.665 0.335 0.000

=====

Entry 8:
NiBiC: optimized geometry, GGA-PBE.

## Properties
formation enthalpy at 0 K: 831 meV per atom
total DFT energy (no corrections): -16.4 eV/cell

a = 3.255 Å, b = 3.255 Å, c = 5.516 Å
α = 90.00°, β = 90.00°, γ = 120.00°
Fractional positions:
1 Ni 0.000 0.000 0.000
2 Bi 0.000 0.000 0.500
3 C 0.667 0.333 0.000

=====

Entry 9:
K4BaAu5: optimized geometry, GGA-PBE.

## Properties
formation enthalpy at 0 K: -379 meV per atom
total DFT energy (no corrections): -26.5 eV/cell

a = 4.033 Å, b = 4.033 Å, c = 19.920 Å
α = 90.00°, β = 90.00°, γ = 90.00°
Fractional positions:
1 K 0.000 0.000 0.098
2 K 0.000 0.000 0.294
3 K 0.000 0.000 0.706
4 K 0.000 0.000 0.902
5 Ba 0.000 0.000 0.500
6 Au 0.500 0.500 0.000
7 Au 0.500 0.500 0.199
8 Au 0.500 0.500 0.408
9 Au 0.500 0.500 0.592
10 Au 0.500 0.500 0.801

=====

Entry 10:
Lu2BeC: optimized geometry, GGA-PBE.

## Properties
formation enthalpy at 0 K: 13 meV per atom
total DFT energy (no corrections): -21.9 eV/cell

a = 7.091 Å, b = 7.091 Å, c = 7.091 Å
α = 28.75°, β = 28.75°, γ = 28.75°
Fractional positions:
1 Lu 0.231 0.231 0.231
2 Lu 0.769 0.769 0.769
3 Be 0.000 0.000 0.000
4 C 0.500 0.500 0.500

=====

Entry 11:
HfTh2Se2I4: optimized geometry, GGA-PBE.

## Properties
total DFT energy (no corrections): -47.5 eV/cell
energy relative to the elements, uncorrected: -1.06 eV per atom

a = 3.872 Å, b = 3.872 Å, c = 24.486 Å
α = 90.00°, β = 90.00°, γ = 120.00°
Fractional positions:
1 Hf 0.000 0.000 0.000
2 Th 0.000 0.000 0.667
3 Th 0.667 0.333 0.309
4 Se 0.667 0.333 0.067
5 Se 0.667 0.333 0.933
6 I 0.000 0.000 0.215
7 I 0.000 0.000 0.404
8 I 0.667 0.333 0.572
9 I 0.667 0.333 0.761

=====

Entry 12:
Cs3Cd11: optimized geometry, GGA-PBE.

## Properties
formation enthalpy at 0 K: -46 meV per atom
total DFT energy (no corrections): -13.3 eV/cell

a = 10.147 Å, b = 10.147 Å, c = 10.147 Å
α = 150.86°, β = 98.83°, γ = 88.46°
Fractional positions:
1 Cs 0.000 0.000 0.000
2 Cs 0.294 0.294 0.000
3 Cs 0.706 0.706 0.000
4 Cd 0.013 0.304 0.708
5 Cd 0.191 0.897 0.294
6 Cd 0.259 0.500 0.759
7 Cd 0.397 0.103 0.294
8 Cd 0.404 0.696 0.708
9 Cd 0.500 0.000 0.500
10 Cd 0.596 0.304 0.292
11 Cd 0.603 0.897 0.706
12 Cd 0.741 0.500 0.241
13 Cd 0.809 0.103 0.706
14 Cd 0.987 0.696 0.292

=====

Entry 13:
NiAgTe: optimized geometry, GGA-PBE.

## Properties
total DFT energy (no corrections): -23.7 eV/cell
energy relative to the elements, uncorrected: -0.03 eV per atom

a = 4.294 Å, b = 4.294 Å, c = 6.208 Å
α = 90.00°, β = 90.00°, γ = 90.00°
Fractional positions:
1 Ni 0.250 0.750 0.000
2 Ni 0.750 0.250 0.000
3 Ag 0.250 0.250 0.287
4 Ag 0.750 0.750 0.713
5 Te 0.250 0.250 0.752
6 Te 0.750 0.750 0.248

=====

Entry 14:
Li6CaAl6: optimized geometry, GGA-PBE.

## Properties
formation enthalpy at 0 K: -160 meV per atom
total DFT energy (no corrections): -38.0 eV/cell

a = 7.140 Å, b = 7.140 Å, c = 7.140 Å
α = 135.04°, β = 98.57°, γ = 98.25°
Fractional positions:
1 Li 0.148 0.148 0.000
2 Li 0.151 0.500 0.651
3 Li 0.296 0.796 0.500
4 Li 0.704 0.204 0.500
5 Li 0.849 0.500 0.349
6 Li 0.852 0.852 0.000
7 Ca 0.500 0.500 0.000
8 Al 0.000 0.000 0.500
9 Al 0.000 0.500 0.000
10 Al 0.283 0.000 0.283
11 Al 0.500 0.000 0.000
12 Al 0.500 0.500 0.500
13 Al 0.717 0.000 0.717

=====

Entry 15:
Na2AsS3: optimized geometry, GGA-PBE.

## Properties
total DFT energy (no corrections): -93.9 eV/cell
energy relative to the elements, uncorrected: -0.63 eV per atom

a = 7.097 Å, b = 7.097 Å, c = 14.216 Å
α = 95.12°, β = 95.12°, γ = 118.76°
Fractional positions:
1 Na 0.037 0.418 0.858
2 Na 0.098 0.316 0.413
3 Na 0.316 0.098 0.913
4 Na 0.418 0.037 0.358
5 Na 0.582 0.963 0.642
6 Na 0.684 0.902 0.087
7 Na 0.902 0.684 0.587
8 Na 0.963 0.582 0.142
9 As 0.253 0.268 0.657
10 As 0.268 0.253 0.157
11 As 0.732 0.747 0.843
12 As 0.747 0.732 0.343
13 S 0.024 0.976 0.250
14 S 0.059 0.287 0.044
15 S 0.232 0.538 0.604
16 S 0.287 0.059 0.544
17 S 0.401 0.599 0.250
18 S 0.462 0.768 0.896
19 S 0.538 0.232 0.104
20 S 0.599 0.401 0.750
21 S 0.713 0.941 0.456
22 S 0.768 0.462 0.396
23 S 0.941 0.713 0.956
24 S 0.976 0.024 0.750

=====

Entry 16:
Sr2AgRhO5: optimized geometry, GGA-PBE.

## Properties
total DFT energy (no corrections): -103.7 eV/cell
energy relative to the elements, uncorrected: -1.50 eV per atom

a = 7.973 Å, b = 7.973 Å, c = 9.434 Å
α = 90.00°, β = 90.00°, γ = 155.83°
Fractional positions:
1 Sr 0.123 0.877 0.531
2 Sr 0.123 0.877 0.969
3 Sr 0.877 0.123 0.031
4 Sr 0.877 0.123 0.469
5 Ag 0.491 0.509 0.750
6 Ag 0.509 0.491 0.250
7 Rh 0.228 0.772 0.250
8 Rh 0.772 0.228 0.750
9 O 0.104 0.896 0.250
10 O 0.276 0.724 0.618
11 O 0.276 0.724 0.882
12 O 0.359 0.641 0.250
13 O 0.500 0.500 0.000
14 O 0.500 0.500 0.500
15 O 0.641 0.359 0.750
16 O 0.724 0.276 0.118
17 O 0.724 0.276 0.382
18 O 0.896 0.104 0.750

=====

Entry 17:
Nd5Er2Hg4: optimized geometry, GGA-PBE.

## Properties
formation enthalpy at 0 K: -119 meV per atom
total DFT energy (no corrections): -35.5 eV/cell

a = 12.630 Å, b = 12.630 Å, c = 7.715 Å
α = 92.24°, β = 92.24°, γ = 16.18°
Fractional positions:
1 Nd 0.000 0.000 0.000
2 Nd 0.267 0.267 0.215
3 Nd 0.360 0.360 0.871
4 Nd 0.640 0.640 0.129
5 Nd 0.733 0.733 0.785
6 Er 0.408 0.408 0.307
7 Er 0.592 0.592 0.693
8 Hg 0.166 0.166 0.476
9 Hg 0.468 0.468 0.662
10 Hg 0.532 0.532 0.338
11 Hg 0.834 0.834 0.524

=====

Entry 18:
Zr2AlSi: optimized geometry, GGA-PBE.

## Properties
total DFT energy (no corrections): -54.3 eV/cell
energy relative to the elements, uncorrected: -0.22 eV per atom

a = 4.734 Å, b = 4.734 Å, c = 8.551 Å
α = 90.00°, β = 90.00°, γ = 120.00°
Fractional positions:
1 Zr 0.333 0.667 0.045
2 Zr 0.333 0.667 0.663
3 Zr 0.667 0.333 0.337
4 Zr 0.667 0.333 0.955
5 Al 0.000 0.000 0.157
6 Al 0.000 0.000 0.843
7 Si 0.333 0.667 0.356
8 Si 0.667 0.333 0.644

=====

Entry 19:
ReSbAs2: optimized geometry, GGA-PBE.

## Properties
total DFT energy (no corrections): -24.1 eV/cell
energy relative to the elements, uncorrected: 0.44 eV per atom

a = 3.722 Å, b = 4.704 Å, c = 4.650 Å
α = 90.00°, β = 101.51°, γ = 90.00°
Fractional positions:
1 Re 0.000 0.000 0.000
2 Sb 0.500 0.000 0.500
3 As 0.210 0.500 0.818
4 As 0.790 0.500 0.182

=====

Entry 20:
Na8B13C3: optimized geometry, GGA-PBE.

## Properties
formation enthalpy at 0 K: 198 meV per atom
total DFT energy (no corrections): -120.3 eV/cell

a = 9.115 Å, b = 9.115 Å, c = 10.516 Å
α = 106.76°, β = 106.76°, γ = 18.05°
Fractional positions:
1 Na 0.000 0.000 0.000
2 Na 0.247 0.247 0.122
3 Na 0.251 0.251 0.625
4 Na 0.497 0.497 0.747
5 Na 0.500 0.500 0.248
6 Na 0.748 0.748 0.873
7 Na 0.749 0.749 0.374
8 Na 0.996 0.996 0.496
9 B 0.123 0.123 0.405
10 B 0.123 0.123 0.885
11 B 0.124 0.124 0.239
12 B 0.124 0.124 0.723
13 B 0.373 0.373 0.509
14 B 0.374 0.374 0.333
15 B 0.374 0.374 0.872
16 B 0.624 0.624 0.146
17 B 0.624 0.624 0.628
18 B 0.624 0.624 0.981
19 B 0.873 0.873 0.603
20 B 0.874 0.874 0.102
21 B 0.874 0.874 0.776
22 C 0.374 0.374 0.027
23 C 0.622 0.622 0.476
24 C 0.874 0.874 0.261